DFT (PBE) results for a geometry-optimized LiTbIn4Se8 structure.

Output
* Fermi-level density of states: 16.93 states/eV per cell
* E_tot: -4.065 eV per atom
* formation energy (no corrections): -0.824 eV/atom
* calculated density: 5.42 g/cm3

a b c (Å): 8.1548 8.1548 20.0670
angles (deg): 90.00 90.00 120.00
Space group R3m (No. 160, hexagonal axes)
Symmetry-distinct sites (fractional):
Li  0.0000  0.0000  0.0000
Tb  0.0000  0.0000  0.3641
In  0.0000  0.0000  0.7515
In  0.0182  0.5091  0.8774
Se  0.0000  0.0000  0.1315
Se  0.0000  0.0000  0.6148
Se  0.0232  0.5116  0.1282
Se  0.1680  0.3359  0.9529

=====

DFT (PBE) results for a geometry-optimized La2InOsC structure.

Output
* Fermi-level density of states: 2.87 states/eV per cell
* E_tot: -6.900 eV per atom
* energy relative to the elements: -1.45 eV per formula unit
* calculated density: 8.49 g/cm3

a b c (Å): 5.424 5.424 3.955
angles (deg): 90.00 90.00 90.00
Space group P4/mmm (No. 123)
Symmetry-distinct sites (fractional):
La  0.000  0.500  0.000
In  0.000  0.000  0.500
Os  0.500  0.500  0.500
C  0.500  0.500  0.000

=====

DFT (PBE) results for a geometry-optimized LiFeCuCl5 structure.

Output
* E_tot: -3.896 eV per atom
* formation energy (no corrections): -0.933 eV/atom
* calculated density: 2.28 g/cm3

a b c (Å): 11.401 9.232 9.408
angles (deg): 90.00 116.70 90.00
Space group C2/c (No. 15)
Symmetry-distinct sites (fractional):
Li  0.000  0.000  0.000
Fe  0.000  0.345  0.250
Cu  0.000  0.360  0.750
Cl  0.000  0.123  0.750
Cl  0.113  0.209  0.163
Cl  0.145  0.493  0.438

=====

DFT (PBE) results for a geometry-optimized B2C3 structure.

Output
* Fermi-level density of states: 5.78 states/eV per cell
* distance to the lowest polymorph of the same formula: 143 meV per atom
* E_tot: -7.826 eV per atom
* energy relative to the elements: 1.90 eV per formula unit
* calculated density: 3.01 g/cm3

a b c (Å): 8.451 2.509 6.395
angles (deg): 90.00 110.01 90.00
Space group Cm (No. 8)
Symmetry-distinct sites (fractional):
B  0.000  0.000  0.000
B  0.060  0.000  0.281
B  0.327  0.500  0.166
B  0.391  0.000  0.809
C  0.119  0.500  0.647
C  0.156  0.500  0.424
C  0.198  0.000  0.784
C  0.207  0.000  0.031
C  0.345  0.500  0.446
C  0.426  0.000  0.580